Record 1
Material: Ir4Ru4Pt
Method: DFT, PBE-GGA
State: optimized geometry

Cell: 6.103 6.103 6.103 Å, 95.71 95.71 143.22°
Fractional positions:
Ir  0.170  0.170  0.340
Ir  0.170  0.830  0.000
Ir  0.830  0.170  0.000
Ir  0.830  0.830  0.660
Ru  0.160  0.500  0.660
Ru  0.500  0.160  0.660
Ru  0.500  0.840  0.340
Ru  0.840  0.500  0.340
Pt  0.500  0.500  0.000

Output
Space group: I4/mmm, No. 139
ρ: 17.6 g/cm3
DOS(E_F): 8.032 states/eV/f.u.
ΔH_f (0 K): -0.024 eV/atom
Electronic total energy: -8.76 eV per atom

---

Record 2
Material: CePr6O12
Method: DFT, PBE-GGA
State: optimized geometry

Cell: 6.913 6.913 6.913 Å, 99.34 99.34 99.34°
Fractional positions:
Ce  0.000  0.000  0.000
Pr  0.138  0.295  0.608
Pr  0.295  0.608  0.138
Pr  0.392  0.862  0.705
Pr  0.608  0.138  0.295
Pr  0.705  0.392  0.862
Pr  0.862  0.705  0.392
O  0.062  0.937  0.687
O  0.063  0.313  0.938
O  0.177  0.583  0.441
O  0.313  0.938  0.063
O  0.417  0.559  0.823
O  0.441  0.177  0.583
O  0.559  0.823  0.417
O  0.583  0.441  0.177
O  0.687  0.062  0.937
O  0.823  0.417  0.559
O  0.937  0.687  0.062
O  0.938  0.063  0.313

Output
ΔE_f (raw): -3.13 eV per atom
Space group: R-3, No. 148
ρ: 6.2 g/cm3
DOS(E_F): 12.194 states/eV/f.u.
Electronic total energy: -8.08 eV per atom

---

Record 3
Material: Th2In3Hg2
Method: DFT, PBE-GGA
State: optimized geometry

Cell: 4.940 22.154 3.429 Å, 90.00 90.00 90.00°
Fractional positions:
Th  0.000  0.151  0.000
Th  0.000  0.849  0.000
Th  0.500  0.349  0.000
Th  0.500  0.651  0.000
In  0.000  0.000  0.000
In  0.000  0.427  0.500
In  0.000  0.573  0.500
In  0.500  0.073  0.500
In  0.500  0.500  0.000
In  0.500  0.927  0.500
Hg  0.000  0.286  0.500
Hg  0.000  0.714  0.500
Hg  0.500  0.214  0.500
Hg  0.500  0.786  0.500

Output
Space group: Cmmm, No. 65
ρ: 10.7 g/cm3
DOS(E_F): 4.477 states/eV/f.u.
ΔH_f (0 K): -0.182 eV/atom
Electronic total energy: -3.56 eV per atom

---

Record 4
Material: HfNbVCo
Method: DFT, PBE-GGA
State: optimized geometry

Cell: 6.300 6.300 6.300 Å, 90.00 90.00 90.00°
Fractional positions:
Hf  0.000  0.000  0.000
Hf  0.000  0.500  0.500
Hf  0.500  0.000  0.500
Hf  0.500  0.500  0.000
Nb  0.000  0.000  0.500
Nb  0.000  0.500  0.000
Nb  0.500  0.000  0.000
Nb  0.500  0.500  0.500
V  0.250  0.250  0.250
V  0.250  0.750  0.750
V  0.750  0.250  0.750
V  0.750  0.750  0.250
Co  0.250  0.250  0.750
Co  0.250  0.750  0.250
Co  0.750  0.250  0.250
Co  0.750  0.750  0.750

Output
Space group: F-43m, No. 216
ρ: 10.1 g/cm3
DOS(E_F): 4.946 states/eV/f.u.
ΔH_f (0 K): -0.034 eV/atom
Electronic total energy: -9.10 eV per atom